[1]
{"formula": "Er3Cu8Pd", "functional": "PBE-GGA", "state": "optimized geometry", "cell": [[-2.798, 4.237, -0.499], [-2.238, -4.396, 1.299], [1.232, 1.769, 8.106]], "species": ["Cu", "Cu", "Cu", "Cu", "Cu", "Cu", "Cu", "Cu", "Er", "Er", "Er", "Pd"], "frac_coords": [[0.672, 0.836, 0.254], [0.499, 0.998, 0.749], [0.333, 0.667, 0.502], [0.499, 0.501, 0.749], [0.333, 0.667, 0.008], [0.164, 0.328, 0.254], [0.002, 0.501, 0.749], [0.164, 0.836, 0.254], [0.000, 0.000, 0.901], [0.667, 0.333, 0.465], [0.667, 0.333, 0.069], [0.000, 0.000, 0.546]], "e_above_lowest_polymorph_mev_per_atom": 0, "total_energy_ev_per_atom": -4.597, "formation_enthalpy_0k_mev_per_atom": -292}

=====

[2]
{"formula": "La7Tb3Mg", "functional": "PBE-GGA", "state": "optimized geometry", "cell": [[6.552, 0.255, -0.406], [-0.403, 7.804, 0.287], [0.345, 0.549, 7.793]], "species": ["Mg", "Tb", "Tb", "Tb", "La", "La", "La", "La", "La", "La", "La"], "frac_coords": [[0.500, 0.500, 0.500], [0.000, 0.838, 0.162], [0.000, 0.162, 0.838], [0.500, 0.000, 0.000], [0.266, 0.556, 0.902], [0.000, 0.500, 0.500], [0.266, 0.902, 0.556], [0.734, 0.098, 0.444], [0.206, 0.240, 0.240], [0.734, 0.444, 0.098], [0.794, 0.760, 0.760]], "total_energy_ev_per_atom": -4.329, "formation_enthalpy_0k_mev_per_atom": 214}

=====

[3]
{"formula": "TbNd3Dy2Ho6", "functional": "PBE-GGA", "state": "optimized geometry", "cell": [[6.188, 0.001, 0.003], [-3.092, 5.360, 0.003], [-1.033, -1.788, 11.603]], "species": ["Ho", "Ho", "Ho", "Ho", "Ho", "Ho", "Dy", "Dy", "Tb", "Nd", "Nd", "Nd"], "frac_coords": [[0.749, 0.749, 0.246], [0.082, 0.416, 0.246], [0.416, 0.082, 0.246], [0.251, 0.251, 0.754], [0.584, 0.918, 0.754], [0.918, 0.584, 0.754], [0.667, 0.333, 0.000], [0.333, 0.667, 0.000], [0.000, 0.000, 0.000], [0.500, 0.500, 0.500], [0.167, 0.833, 0.500], [0.833, 0.167, 0.500]], "total_energy_ev_per_atom": -4.616, "formation_enthalpy_0k_mev_per_atom": 18}

=====

[4]
{"formula": "Li2CaIrRh", "functional": "PBE-GGA", "state": "optimized geometry", "cell": [[-1.555, 0.091, 4.172], [1.697, -4.054, 0.721], [4.334, 2.093, 1.570]], "species": ["Ca", "Li", "Li", "Ir", "Rh"], "frac_coords": [[0.000, 0.000, 0.500], [0.500, 0.000, 0.000], [0.000, 0.500, 0.000], [0.500, 0.500, 0.500], [0.000, 0.000, 0.000]], "e_above_lowest_polymorph_mev_per_atom": 29, "total_energy_ev_per_atom": -3.712, "formation_enthalpy_0k_mev_per_atom": 696}

=====

[5]
{"formula": "La2B12OsRu3", "functional": "PBE-GGA", "state": "optimized geometry", "cell": [[8.042, 1.301, 0.923], [5.103, 6.351, 0.923], [5.103, 2.970, 5.688]], "species": ["B", "B", "B", "B", "B", "B", "B", "B", "B", "B", "B", "B", "La", "La", "Ru", "Ru", "Ru", "Os"], "frac_coords": [[0.340, 0.039, 0.340], [0.642, 0.076, 0.076], [0.924, 0.358, 0.924], [0.660, 0.660, 0.961], [0.076, 0.076, 0.642], [0.961, 0.660, 0.660], [0.340, 0.340, 0.039], [0.076, 0.642, 0.076], [0.660, 0.961, 0.660], [0.924, 0.924, 0.358], [0.358, 0.924, 0.924], [0.039, 0.340, 0.340], [0.633, 0.633, 0.633], [0.367, 0.367, 0.367], [0.000, 0.500, 0.000], [0.000, 0.000, 0.500], [0.500, 0.000, 0.000], [0.000, 0.000, 0.000]], "total_energy_ev_per_atom": -7.103, "formation_enthalpy_0k_mev_per_atom": 66}

=====

[6]
{"formula": "SrTe2P", "functional": "PBE-GGA", "state": "optimized geometry", "cell": [[4.806, 0.000, 0.000], [0.000, 4.806, 0.000], [0.000, 0.000, 4.726]], "species": ["Te", "Te", "Sr", "P"], "frac_coords": [[0.000, 0.500, 0.000], [0.500, 0.000, 0.000], [0.000, 0.000, 0.500], [0.500, 0.500, 0.500]], "e_above_lowest_polymorph_mev_per_atom": 337, "total_energy_ev_per_atom": -3.664}

=====

[7]
{"formula": "PrErInGa", "functional": "PBE-GGA", "state": "optimized geometry", "cell": [[3.697, 0.000, 0.000], [0.000, 3.697, 0.000], [0.000, 0.000, 7.573]], "species": ["In", "Ga", "Er", "Pr"], "frac_coords": [[0.000, 0.000, 0.839], [0.000, 0.000, 0.376], [0.500, 0.500, 0.592], [0.500, 0.500, 0.120]], "e_above_lowest_polymorph_mev_per_atom": 0, "total_energy_ev_per_atom": -4.292, "formation_enthalpy_0k_mev_per_atom": -515}

=====

[8]
{"formula": "WCl2", "functional": "PBE-GGA", "state": "optimized geometry", "cell": [[-3.167, 3.167, 2.741], [3.167, -3.167, 2.741], [3.167, 3.167, -2.741]], "species": ["W", "W", "Cl", "Cl", "Cl", "Cl"], "frac_coords": [[0.750, 0.750, 0.000], [0.250, 0.250, 0.000], [0.185, 0.315, 0.500], [0.685, 0.185, 0.869], [0.815, 0.685, 0.500], [0.315, 0.815, 0.131]], "e_above_lowest_polymorph_mev_per_atom": 1205, "total_energy_ev_per_atom": -5.074}

=====

[9]
{"formula": "VCd2CoW", "functional": "PBE-GGA", "state": "optimized geometry", "cell": [[4.983, 0.000, 0.000], [0.000, 3.969, 0.000], [0.000, 0.000, 4.983]], "species": ["W", "V", "Cd", "Cd", "Co"], "frac_coords": [[0.500, 0.500, 0.500], [0.000, 0.000, 0.000], [0.500, 0.000, 0.000], [0.000, 0.000, 0.500], [0.000, 0.500, 0.000]], "total_energy_ev_per_atom": -4.468, "formation_enthalpy_0k_mev_per_atom": 1734}

=====

[10]
{"formula": "YAu3Cl", "functional": "PBE-GGA", "state": "optimized geometry", "cell": [[-0.081, -2.792, -4.116], [2.166, -3.725, 2.485], [-4.477, -1.752, 1.277]], "species": ["Au", "Au", "Au", "Cl", "Y"], "frac_coords": [[0.000, 0.000, 0.500], [0.000, 0.500, 0.000], [0.500, 0.000, 0.000], [0.000, 0.000, 0.000], [0.500, 0.500, 0.500]], "total_energy_ev_per_atom": -3.185}

=====

[11]
{"formula": "SrPuPt", "functional": "PBE-GGA", "state": "optimized geometry", "cell": [[4.552, 0.000, 0.000], [0.000, 4.552, 0.000], [0.000, 0.000, 8.254]], "species": ["Sr", "Sr", "Pu", "Pu", "Pt", "Pt"], "frac_coords": [[0.000, 0.500, 0.864], [0.500, 0.000, 0.136], [0.000, 0.000, 0.500], [0.500, 0.500, 0.500], [0.000, 0.500, 0.267], [0.500, 0.000, 0.733]], "e_above_lowest_polymorph_mev_per_atom": 0, "total_energy_ev_per_atom": -7.933, "formation_enthalpy_0k_mev_per_atom": -582}

=====

[12]
{"formula": "LaMnCd2", "functional": "PBE-GGA", "state": "optimized geometry", "cell": [[10.397, -0.136, -0.080], [9.924, 3.104, -0.080], [9.924, 1.450, 2.746]], "species": ["Mn", "Cd", "Cd", "La"], "frac_coords": [[0.750, 0.750, 0.750], [0.488, 0.488, 0.488], [0.012, 0.012, 0.012], [0.250, 0.250, 0.250]], "total_energy_ev_per_atom": -3.779, "formation_enthalpy_0k_mev_per_atom": 203}

=====

[13]
{"formula": "TbHfTl2", "functional": "PBE-GGA", "state": "optimized geometry", "cell": [[5.211, 0.000, 0.000], [2.606, 4.513, 0.000], [2.606, 1.504, 4.257]], "species": ["Tb", "Hf", "Tl", "Tl"], "frac_coords": [[0.000, 0.000, 0.000], [0.500, 0.500, 0.500], [0.250, 0.250, 0.250], [0.750, 0.750, 0.750]], "e_above_lowest_polymorph_mev_per_atom": 73, "total_energy_ev_per_atom": -4.827, "formation_enthalpy_0k_mev_per_atom": 2}

=====

[14]
{"formula": "HgBiSeN2", "functional": "PBE-GGA", "state": "optimized geometry", "cell": [[-3.557, -2.160, -1.322], [1.945, -0.871, -3.811], [2.238, -5.099, 2.308]], "species": ["N", "N", "Se", "Bi", "Hg"], "frac_coords": [[0.500, 0.000, 0.000], [0.000, 0.500, 0.000], [0.000, 0.000, 0.500], [0.000, 0.000, 0.000], [0.500, 0.500, 0.500]], "e_above_lowest_polymorph_mev_per_atom": 0, "total_energy_ev_per_atom": -3.419}

=====

[15]
{"formula": "Re3SnS", "functional": "PBE-GGA", "state": "optimized geometry", "cell": [[-0.439, -4.357, 2.178], [4.647, -1.031, -1.126], [1.462, 1.969, 4.232]], "species": ["Sn", "Re", "Re", "Re", "S"], "frac_coords": [[0.000, 0.000, 0.000], [0.000, 0.500, 0.000], [0.500, 0.000, 0.000], [0.000, 0.000, 0.500], [0.500, 0.500, 0.500]], "e_above_lowest_polymorph_mev_per_atom": 2172, "total_energy_ev_per_atom": -5.900}

=====

[16]
{"formula": "YBF2", "functional": "PBE-GGA", "state": "optimized geometry", "cell": [[-6.186, 2.910, 4.978], [-6.876, -0.265, 4.916], [-4.661, 0.875, 7.002]], "species": ["B", "F", "F", "Y"], "frac_coords": [[0.000, 0.000, 0.000], [0.889, 0.889, 0.889], [0.111, 0.111, 0.111], [0.500, 0.500, 0.500]], "e_above_lowest_polymorph_mev_per_atom": 413, "total_energy_ev_per_atom": -5.279}

=====

[17]
{"formula": "KHfP2", "functional": "PBE-GGA", "state": "optimized geometry", "cell": [[-0.239, -2.051, -6.290], [5.487, -3.578, 0.958], [-1.045, -7.955, -0.851]], "species": ["K", "K", "P", "P", "P", "P", "Hf", "Hf"], "frac_coords": [[0.250, 0.750, 0.500], [0.500, 0.500, 0.000], [0.994, 0.625, 0.250], [0.756, 0.125, 0.250], [0.875, 0.006, 0.750], [0.375, 0.244, 0.750], [0.000, 0.000, 0.000], [0.750, 0.250, 0.500]], "e_above_lowest_polymorph_mev_per_atom": 336, "total_energy_ev_per_atom": -5.798, "formation_enthalpy_0k_mev_per_atom": -330}

=====

[18]
{"formula": "PrAgGeO4", "functional": "PBE-GGA", "state": "optimized geometry", "cell": [[-4.427, -2.617, 3.262], [1.218, -5.909, 2.598], [0.206, 0.702, 6.528]], "species": ["O", "O", "O", "O", "O", "O", "O", "O", "Ge", "Ge", "Pr", "Pr", "Ag", "Ag"], "frac_coords": [[0.729, 0.714, 0.828], [0.253, 0.251, 0.751], [0.254, 0.749, 0.249], [0.729, 0.328, 0.214], [0.271, 0.286, 0.172], [0.271, 0.672, 0.786], [0.746, 0.251, 0.751], [0.747, 0.749, 0.249], [0.624, 0.626, 0.126], [0.376, 0.374, 0.874], [0.000, 0.000, 0.000], [0.000, 0.500, 0.500], [0.500, 0.000, 0.500], [0.000, 0.000, 0.500]], "total_energy_ev_per_atom": -6.446}

=====

[19]
{"formula": "Mn2GaN", "functional": "PBE-GGA", "state": "optimized geometry", "cell": [[3.671, 0.000, 0.000], [0.000, 2.799, 0.000], [0.000, 0.000, 9.501]], "species": ["Mn", "Mn", "Mn", "Mn", "Ga", "Ga", "N", "N"], "frac_coords": [[0.500, 0.500, 0.266], [0.000, 0.500, 0.650], [0.500, 0.000, 0.766], [0.000, 0.000, 0.150], [0.500, 0.000, 0.493], [0.500, 0.500, 0.993], [0.000, 0.500, 0.276], [0.000, 0.000, 0.776]], "total_energy_ev_per_atom": -7.519}

=====

[20]
{"formula": "CeEr5Te6", "functional": "PBE-GGA", "state": "optimized geometry", "cell": [[7.394, -0.128, -1.395], [-4.006, 6.216, -1.395], [0.149, 0.267, 7.549]], "species": ["Te", "Te", "Te", "Te", "Te", "Te", "Er", "Er", "Er", "Er", "Er", "Ce"], "frac_coords": [[0.429, 0.086, 0.257], [0.261, 0.261, 0.751], [0.914, 0.571, 0.743], [0.571, 0.914, 0.743], [0.086, 0.429, 0.257], [0.739, 0.739, 0.249], [0.160, 0.840, 0.500], [0.331, 0.669, 0.000], [0.500, 0.500, 0.500], [0.840, 0.160, 0.500], [0.669, 0.331, 0.000], [0.000, 0.000, 0.000]], "total_energy_ev_per_atom": -5.206}

=====

[21]
{"formula": "ScCd2AsPt", "functional": "PBE-GGA", "state": "optimized geometry", "cell": [[-1.967, 1.324, 4.592], [1.505, -4.006, 1.800], [4.475, 2.251, 1.268]], "species": ["Cd", "Cd", "Pt", "Sc", "As"], "frac_coords": [[0.000, 0.000, 0.500], [0.500, 0.000, 0.000], [0.000, 0.500, 0.000], [0.500, 0.500, 0.500], [0.000, 0.000, 0.000]], "total_energy_ev_per_atom": -3.471, "formation_enthalpy_0k_mev_per_atom": 299}

=====

[22]
{"formula": "TlHgSe", "functional": "PBE-GGA", "state": "optimized geometry", "cell": [[8.585, 0.035, -0.036], [7.937, 3.270, 0.000], [0.647, 0.091, 3.234]], "species": ["Hg", "Se", "Tl"], "frac_coords": [[0.990, 0.990, 0.010], [0.319, 0.319, 0.681], [0.691, 0.691, 0.309]], "e_above_lowest_polymorph_mev_per_atom": 264, "total_energy_ev_per_atom": -2.016}

=====

[23]
{"formula": "Rb2Ga3Au2", "functional": "PBE-GGA", "state": "optimized geometry", "cell": [[-1.437, 0.233, -4.244], [-4.638, -5.078, -1.081], [-6.640, 2.719, 0.026]], "species": ["Ga", "Ga", "Ga", "Rb", "Rb", "Au", "Au"], "frac_coords": [[0.658, 0.112, 0.572], [0.500, 0.000, 0.000], [0.342, 0.888, 0.428], [0.862, 0.511, 0.764], [0.138, 0.489, 0.236], [0.120, 0.971, 0.790], [0.880, 0.029, 0.210]], "total_energy_ev_per_atom": -2.756, "formation_enthalpy_0k_mev_per_atom": -246}

=====

[24]
{"formula": "Ce2ErTm4", "functional": "PBE-GGA", "state": "optimized geometry", "cell": [[3.485, 0.002, -0.003], [-1.747, 5.581, -1.498], [0.009, 1.689, 10.293]], "species": ["Tm", "Tm", "Tm", "Tm", "Ce", "Ce", "Er"], "frac_coords": [[0.857, 0.715, 0.425], [0.143, 0.285, 0.575], [0.427, 0.853, 0.714], [0.573, 0.147, 0.286], [0.717, 0.433, 0.863], [0.283, 0.567, 0.137], [0.000, 0.000, 0.000]], "total_energy_ev_per_atom": -4.842, "formation_enthalpy_0k_mev_per_atom": 60}

=====

[25]
{"formula": "CsGa2Si2", "functional": "PBE-GGA", "state": "optimized geometry", "cell": [[-5.957, 3.553, -5.954], [0.441, -7.639, -5.001], [-2.562, -1.313, 1.780]], "species": ["Si", "Si", "Si", "Si", "Ga", "Ga", "Ga", "Ga", "Cs", "Cs"], "frac_coords": [[0.899, 0.399, 0.500], [0.601, 0.899, 0.500], [0.101, 0.601, 0.500], [0.399, 0.101, 0.500], [0.376, 0.876, 0.000], [0.876, 0.624, 0.000], [0.624, 0.124, 0.000], [0.124, 0.376, 0.000], [0.500, 0.500, 0.000], [0.000, 0.000, 0.000]], "e_above_lowest_polymorph_mev_per_atom": 256, "total_energy_ev_per_atom": -3.236}